Density functional theory data (PBE) for a relaxed structure of CsAgTe2.

Computed properties:
Electronic total energy in eV per atom: -2.8298
Size of the total moment in μB/atom: 0.000
V in Å³/f.u.: 152
Symmetry: Cmcm, No. 63
Formation energy without anion corrections in eV per atom: -0.333

Unit cell a=13.279 b=13.279 c=6.530 alpha=90.00 beta=90.00 gamma=164.64
Positions (direct):
Cs: 0.343 0.657 0.250
Cs: 0.657 0.343 0.750
Te: 0.193 0.807 0.250
Te: 0.807 0.193 0.750
Te: 0.993 0.007 0.250
Te: 0.007 0.993 0.750
Ag: 0.093 0.907 0.250
Ag: 0.907 0.093 0.750

Density functional theory data (PBE) for a relaxed structure of CsAgTe2.

Computed properties:
Electronic total energy in eV per atom: -2.9467
Size of the total moment in μB/atom: 0.000
V in Å³/f.u.: 177
Symmetry: C2/m, No. 12
Formation energy without anion corrections in eV per atom: -0.450

Unit cell a=9.845 b=6.961 c=6.961 alpha=143.83 beta=137.73 gamma=42.27
Positions (direct):
Cs: 0.500 0.500 0.500
Te: 0.724 0.643 0.357
Te: 0.276 0.357 0.643
Ag: 0.000 0.000 0.000

Density functional theory data (PBE) for a relaxed structure of Cs3AgTe4.

Computed properties:
Electronic total energy in eV per atom: -2.8755
Size of the total moment in μB/atom: 0.000
V in Å³/f.u.: 393
Symmetry: Pmmn, No. 59
Formation energy without anion corrections in eV per atom: -0.628

Unit cell a=9.785 b=6.563 c=12.247 alpha=90.00 beta=90.00 gamma=90.00
Positions (direct):
Cs: 0.553 0.000 0.000
Cs: 0.447 0.500 0.500
Cs: 0.813 0.500 0.712
Cs: 0.813 0.500 0.288
Cs: 0.187 0.000 0.788
Cs: 0.187 0.000 0.212
Te: 0.437 0.500 0.884
Te: 0.437 0.500 0.116
Te: 0.919 0.218 0.000
Te: 0.919 0.782 0.000
Te: 0.081 0.718 0.500
Te: 0.081 0.282 0.500
Te: 0.563 0.000 0.384
Te: 0.563 0.000 0.616
Ag: 0.697 0.500 0.000
Ag: 0.303 0.000 0.500

Density functional theory data (PBE) for a relaxed structure of CsAgTe5.

Computed properties:
Electronic total energy in eV per atom: -2.9174
Size of the total moment in μB/atom: 0.000
V in Å³/f.u.: 299
Symmetry: C2/c, No. 15
Formation energy without anion corrections in eV per atom: -0.144

Unit cell a=9.369 b=9.368 c=10.814 alpha=102.74 beta=102.74 gamma=131.68
Positions (direct):
Cs: 0.757 0.743 0.250
Cs: 0.243 0.257 0.750
Ag: 0.000 0.000 0.000
Ag: 0.500 0.500 0.500
Te: 0.212 0.636 0.121
Te: 0.697 0.051 0.518
Te: 0.136 0.712 0.621
Te: 0.330 0.170 0.250
Te: 0.449 0.803 0.982
Te: 0.551 0.197 0.018
Te: 0.670 0.830 0.750
Te: 0.864 0.288 0.379
Te: 0.303 0.949 0.482
Te: 0.788 0.364 0.879